Material: Y3Re
Method: DFT, PBE
State: optimized geometry

Summary:
volume: 108.8 Å³/cell
space-group type: P4/mmm (123)
formation energy from the elements: 0.182 eV/atom
density: 6.912 g/cm3

extended XYZ file:
```
4
Lattice="3.442 0.000 0.000 0.000 3.442 0.000 0.000 0.000 9.187" Properties=species:S:1:pos:R:3 pbc="T T T"
Y 0.000 0.000 0.000
Y 1.721 1.721 2.911
Y 1.721 1.721 6.275
Re 0.000 0.000 4.593
```

***

Material: YRe4
Method: DFT, PBE
State: optimized geometry

Summary:
volume: 102.9 Å³/cell
excess energy over the best structure of this formula in the dataset: 3.429 eV/atom
space-group type: Pm-3m (221)
formation energy from the elements: 3.467 eV/atom
density: 13.453 g/cm3

extended XYZ file:
```
5
Lattice="4.686 0.000 0.000 0.000 4.686 0.000 0.000 0.000 4.686" Properties=species:S:1:pos:R:3 pbc="T T T"
Y 0.000 0.000 0.000
Re 0.000 0.000 2.343
Re 0.000 2.343 0.000
Re 2.343 0.000 0.000
Re 2.343 2.343 2.343
```

***

Material: Y3Re
Method: DFT, PBE
State: optimized geometry

Summary:
volume: 197.9 Å³/cell
space-group type: I4/mmm (139)
formation energy from the elements: 0.336 eV/atom
density: 7.601 g/cm3

extended XYZ file:
```
8
Lattice="-2.635 2.635 7.126 2.635 -2.635 7.126 2.635 2.635 -7.126" Properties=species:S:1:pos:R:3 pbc="T T T"
Y 2.635 0.000 0.000
Y 0.000 0.000 2.097
Y 2.635 0.000 3.563
Y 0.000 2.635 0.000
Y 0.000 2.635 3.563
Y 0.000 0.000 12.156
Re 0.000 0.000 5.154
Re 0.000 0.000 9.099
```

***

Material: Y5Re4
Method: DFT, PBE
State: optimized geometry

Summary:
volume: 390.6 Å³/cell
excess energy over the best structure of this formula in the dataset: 0.085 eV/atom
space-group type: P6_3/mcm (193)
formation energy from the elements: 0.545 eV/atom
density: 10.114 g/cm3

extended XYZ file:
```
18
Lattice="8.695 0.000 0.000 -4.348 7.531 0.000 0.000 0.000 5.964" Properties=species:S:1:pos:R:3 pbc="T T T"
Y -1.267 2.194 1.491
Y -3.081 5.337 4.473
Y 2.533 0.000 1.491
Y 1.267 2.194 4.473
Y 0.000 5.020 0.000
Y 0.000 5.020 2.982
Y 4.348 2.510 0.000
Y 4.348 2.510 2.982
Y 6.162 0.000 4.473
Y 3.081 5.337 1.491
Re 0.000 0.000 0.000
Re 0.000 0.000 2.982
Re -1.563 2.707 4.473
Re -2.785 4.823 1.491
Re 3.126 0.000 4.473
Re 1.563 2.707 1.491
Re 5.569 0.000 1.491
Re 2.785 4.823 4.473
```

***

Material: YZn2Re
Method: DFT, PBE
State: optimized geometry

Summary:
volume: 167.0 Å³/cell
excess energy over the best structure of this formula in the dataset: 0.368 eV/atom
space-group type: I-42d (122)
formation energy from the elements: 0.439 eV/atom
density: 8.074 g/cm3

extended XYZ file:
```
8
Lattice="-2.123 2.123 9.259 2.123 -2.123 9.259 2.123 2.123 -9.259" Properties=species:S:1:pos:R:3 pbc="T T T"
Y 0.000 0.000 0.000
Y 0.000 2.123 4.629
Zn 1.062 -0.578 6.944
Zn 1.545 1.062 2.315
Zn 1.062 2.701 -2.315
Zn 0.578 1.062 11.573
Re 2.123 0.000 4.629
Re 0.000 0.000 9.259
```

***

Material: YZn2Re
Method: DFT, PBE
State: optimized geometry

Summary:
volume: 70.1 Å³/cell
excess energy over the best structure of this formula in the dataset: 0.080 eV/atom
space-group type: Fm-3m (225)
formation energy from the elements: 0.152 eV/atom
density: 9.621 g/cm3

extended XYZ file:
```
4
Lattice="0.000 3.272 3.272 3.272 0.000 3.272 3.272 3.272 0.000" Properties=species:S:1:pos:R:3 pbc="T T T"
Y 0.000 0.000 0.000
Zn 1.636 1.636 1.636
Zn 4.908 4.908 4.908
Re 3.272 3.272 3.272
```